Entry 1:
# RbAu2Cl4

A relaxed RbAu2Cl4 crystal (PBE, Alexandria via LeMat-Bulk).

Calculated values
Uncorrected formation energy (eV per atom): -0.53
Space-group type: I4/m, No. 87

abc: 6.7794 6.7794 6.7794
angles: 106.70 106.70 115.17
Closest atoms and distances in Å follow each position.
Sites, in units of the cell vectors:
Rb1 0.0000 0.0000 0.0000  4 Cl 3.32
Au1 0.2500 0.7500 0.5000  4 Cl 2.54
Au2 0.7500 0.2500 0.5000  4 Cl 2.54
Cl1 0.1763 0.6291 0.8054  2 Au 2.54
Cl2 0.3709 0.1763 0.5471  2 Au 2.54
Cl3 0.6291 0.8237 0.4529  2 Au 2.54
Cl4 0.8237 0.3709 0.1946  2 Au 2.54

---

Entry 2:
# Tm4AgPb3

A relaxed Tm4AgPb3 crystal (PBE, Alexandria via LeMat-Bulk).

Calculated values
Space-group type: Pmm2, No. 25
Energy of formation (eV per atom): -0.357

abc: 4.3315 4.4411 11.4280
angles: 90.00 90.00 90.00
Closest atoms and distances in Å follow each position.
Sites, in units of the cell vectors:
Tm1 0.0000 0.0000 0.0000  5 Pb 3.09-3.13, 2 Ag 3.25
Tm2 0.0000 0.5000 0.2556  3 Pb 3.06-3.34, 4 Ag 3.14
Tm3 0.5000 0.0000 0.4802  1 Ag 3.06, 4 Pb 3.14
Tm4 0.5000 0.5000 0.7561  7 Pb 3.12-3.43
Ag1 0.5000 0.0000 0.2125  2 Pb 3.02, 7 Tm 3.06-3.25
Pb1 0.0000 0.0000 0.7294  5 Tm 3.09-3.12, 2 Pb 3.24
Pb2 0.0000 0.5000 0.5235  5 Tm 3.06-3.14, 2 Pb 3.24
Pb3 0.5000 0.5000 0.0334  2 Ag 3.02, 7 Tm 3.13-3.34